No. 1
This record from Alexandria via LeMat-Bulk describes a relaxed structure of Zr2Ge2Pb. The functional is PBE-GGA.

- excess energy over the best structure of this formula in the dataset (eV/atom) = 0.000
- SG = I4/mmm (139)
- formation energy (eV per atom) = -0.33
- magnetization (μB/f.u.) = 0.000

Structure (extended XYZ):
```
5
Lattice="-2.611 0.667 -2.603 -2.620 0.169 2.672 -1.395 7.993 0.754" Properties=species:S:1:pos:R:3 pbc="T T T"
Pb 0.000 0.000 0.000
Ge -3.311 4.539 -0.907
Ge -3.316 4.290 1.730
Zr -2.344 2.102 0.195
Zr -4.282 6.727 0.628
```



No. 2
This record from Alexandria via LeMat-Bulk describes a relaxed structure of BaCoSi3. The functional is PBE-GGA.

- raw formation energy (eV per atom) = 2.36
- SG = Pm-3m (221)
- magnetization (μB/f.u.) = 1.799

Structure (extended XYZ):
```
5
Lattice="-5.067 -1.996 -1.029 1.170 -0.179 -5.414 1.917 -5.167 0.585" Properties=species:S:1:pos:R:3 pbc="T T T"
Si 0.585 -0.090 -2.707
Si 0.959 -2.584 0.293
Si -2.533 -0.998 -0.515
Co -0.990 -3.671 -2.929
Ba 0.000 0.000 0.000
```